Entry 1:
The following is a DFT calculation (SCAN) of FeSbIr2 at its PBEsol-relaxed geometry.

Summary:
The calculated volume is 61.4 Å³/f.u. As for the space group: Pmm2. The formation energy (no corrections) is 167 meV/atom.

abc: 2.925 3.879 5.414
angles: 90.00 90.00 90.00
Fractional positions:
Fe (0.000, 0.000, 0.000)
Sb (0.500, 0.500, 0.688)
Ir (0.000, 0.000, 0.468)
Ir (0.500, 0.500, 0.170)


Entry 2:
The following is a DFT calculation (SCAN) of Sc3Pb2 at its PBEsol-relaxed geometry.

Summary:
The calculated volume is 115.9 Å³/f.u. As for the space group: Fdd2. For the formation energy, the calculation gives -553.5 meV/atom.

abc: 7.914 6.041 8.984
angles: 59.82 41.29 78.89
Fractional positions:
Sc (0.000, 0.000, 0.000)
Sc (0.250, 0.250, 0.250)
Sc (0.363, 0.675, 0.440)
Sc (0.675, 0.363, 0.523)
Sc (0.727, 0.810, 0.575)
Sc (0.810, 0.727, 0.887)
Pb (0.143, 0.471, 0.957)
Pb (0.293, 0.821, 0.107)
Pb (0.471, 0.143, 0.429)
Pb (0.821, 0.293, 0.779)


Entry 3:
The following is a DFT calculation (SCAN) of YAsNO2 at its PBEsol-relaxed geometry.

Summary:
The calculated volume is 78.6 Å³/f.u. As for the space group: P4/mmm. The formation energy (no corrections) is -274 meV/atom.

abc: 4.199 4.199 4.456
angles: 90.00 90.00 90.00
Fractional positions:
Y (0.000, 0.000, 0.000)
As (0.500, 0.500, 0.500)
N (0.000, 0.000, 0.500)
O (0.000, 0.500, 0.000)
O (0.500, 0.000, 0.000)


Entry 4:
The following is a DFT calculation (SCAN) of KYPS2 at its PBEsol-relaxed geometry.

Summary:
The calculated volume is 146.8 Å³/f.u. As for the space group: P4/mmm. The formation energy (no corrections) is -815 meV/atom.

abc: 5.238 5.238 5.351
angles: 90.00 90.00 90.00
Fractional positions:
K (0.000, 0.000, 0.000)
Y (0.500, 0.500, 0.500)
P (0.500, 0.500, 0.000)
S (0.000, 0.500, 0.500)
S (0.500, 0.000, 0.500)


Entry 5:
The following is a DFT calculation (SCAN) of CoCuPb2 at its PBEsol-relaxed geometry.

Summary:
The calculated volume is 78.5 Å³/f.u. For the distance to the lowest polymorph of the same formula, the calculation gives 0 meV per atom. As for the space group: P4mm. For the formation energy, the calculation gives 385.5 meV/atom.

abc: 3.201 3.201 7.658
angles: 90.00 90.00 90.00
Fractional positions:
Co (0.000, 0.000, 0.000)
Cu (0.500, 0.500, 0.142)
Pb (0.000, 0.000, 0.370)
Pb (0.500, 0.500, 0.778)


Entry 6:
The following is a DFT calculation (SCAN) of CaY2 at its PBEsol-relaxed geometry.

Summary:
The calculated volume is 100.3 Å³/f.u. For the distance to the lowest polymorph of the same formula, the calculation gives 0 meV per atom. As for the space group: Cmcm. For the formation energy, the calculation gives 75.9 meV/atom.

abc: 9.824 9.824 5.729
angles: 90.00 90.00 158.73
Fractional positions:
Ca (0.057, 0.943, 0.750)
Ca (0.943, 0.057, 0.250)
Y (0.274, 0.726, 0.250)
Y (0.379, 0.621, 0.750)
Y (0.621, 0.379, 0.250)
Y (0.726, 0.274, 0.750)


Entry 7:
The following is a DFT calculation (SCAN) of HfSb3Pb at its PBEsol-relaxed geometry.

Summary:
The calculated volume is 161.3 Å³/f.u. For the distance to the lowest polymorph of the same formula, the calculation gives 0 meV per atom. As for the space group: Pm-3m. The formation energy (no corrections) is 253 meV/atom.

abc: 5.443 5.443 5.443
angles: 90.00 90.00 90.00
Fractional positions:
Hf (0.000, 0.000, 0.000)
Sb (0.000, 0.000, 0.500)
Sb (0.000, 0.500, 0.000)
Sb (0.500, 0.000, 0.000)
Pb (0.500, 0.500, 0.500)


Entry 8:
The following is a DFT calculation (SCAN) of ScPtAu2 at its PBEsol-relaxed geometry.

Summary:
The calculated volume is 68.4 Å³/f.u. As for the space group: P4mm. For the formation energy, the calculation gives -866.8 meV/atom.

abc: 3.491 3.491 5.610
angles: 90.00 90.00 90.00
Fractional positions:
Sc (0.000, 0.000, 0.000)
Pt (0.500, 0.500, 0.769)
Au (0.000, 0.000, 0.511)
Au (0.500, 0.500, 0.268)


Entry 9:
The following is a DFT calculation (SCAN) of MgTiTl2Rh at its PBEsol-relaxed geometry.

Summary:
The calculated volume is 116.0 Å³/f.u. As for the space group: P4/mmm. For the formation energy, the calculation gives 836.3 meV/atom.

abc: 5.064 5.064 4.524
angles: 90.00 90.00 90.00
Fractional positions:
Mg (0.000, 0.000, 0.000)
Ti (0.500, 0.500, 0.500)
Tl (0.000, 0.500, 0.000)
Tl (0.500, 0.000, 0.000)
Rh (0.000, 0.000, 0.500)


Entry 10:
The following is a DFT calculation (SCAN) of MgTcB2Os at its PBEsol-relaxed geometry.

Summary:
The calculated volume is 79.1 Å³/f.u. As for the space group: P4/mmm. For the formation energy, the calculation gives 997.8 meV/atom.

abc: 4.048 4.048 4.825
angles: 90.00 90.00 90.00
Fractional positions:
Mg (0.000, 0.000, 0.000)
Tc (0.500, 0.500, 0.000)
B (0.000, 0.500, 0.500)
B (0.500, 0.000, 0.500)
Os (0.500, 0.500, 0.500)


Entry 11:
The following is a DFT calculation (SCAN) of ScNiAg2 at its PBEsol-relaxed geometry.

Summary:
The calculated volume is 63.9 Å³/f.u. As for the space group: P4/mmm. For the formation energy, the calculation gives -88.1 meV/atom.

abc: 3.844 3.844 4.322
angles: 90.00 90.00 90.00
Fractional positions:
Sc (0.000, 0.000, 0.000)
Ni (0.500, 0.500, 0.000)
Ag (0.000, 0.500, 0.500)
Ag (0.500, 0.000, 0.500)


Entry 12:
The following is a DFT calculation (SCAN) of ZrBeZn at its PBEsol-relaxed geometry.

Summary:
The calculated volume is 44.9 Å³/f.u. As for the space group: P-6m2. For the formation energy, the calculation gives -293.7 meV/atom.

abc: 4.009 4.009 3.225
angles: 90.00 90.00 120.00
Fractional positions:
Zr (0.000, 0.000, 0.000)
Be (0.333, 0.667, 0.500)
Zn (0.667, 0.333, 0.500)


Entry 13:
The following is a DFT calculation (SCAN) of ZrC at its PBEsol-relaxed geometry.

Summary:
The calculated volume is 32.0 Å³/f.u. For the distance to the lowest polymorph of the same formula, the calculation gives 1557 meV per atom. As for the space group: Pm-3m. For the formation energy, the calculation gives 565.4 meV/atom.

abc: 4.577 4.577 4.577
angles: 90.00 90.00 90.00
Fractional positions:
Zr (0.000, 0.000, 0.500)
Zr (0.000, 0.500, 0.000)
Zr (0.500, 0.000, 0.000)
C (0.000, 0.500, 0.500)
C (0.500, 0.000, 0.500)
C (0.500, 0.500, 0.000)


Entry 14:
The following is a DFT calculation (SCAN) of CaY at its PBEsol-relaxed geometry.

Summary:
The calculated volume is 69.4 Å³/f.u. For the distance to the lowest polymorph of the same formula, the calculation gives 0 meV per atom. As for the space group: P-3m1. For the formation energy, the calculation gives 56.6 meV/atom.

abc: 3.654 3.654 12.000
angles: 90.00 90.00 120.00
Fractional positions:
Ca (0.333, 0.667, 0.136)
Ca (0.667, 0.333, 0.864)
Y (0.333, 0.667, 0.612)
Y (0.667, 0.333, 0.388)


Entry 15:
The following is a DFT calculation (SCAN) of CdRhCl2 at its PBEsol-relaxed geometry.

Summary:
The calculated volume is 81.2 Å³/f.u. For the distance to the lowest polymorph of the same formula, the calculation gives 0 meV per atom. As for the space group: R3m. The formation energy (no corrections) is -486 meV/atom.

abc: 8.091 8.091 8.091
angles: 24.67 24.67 24.67
Fractional positions:
Cd (0.000, 0.000, 0.000)
Rh (0.750, 0.750, 0.750)
Cl (0.262, 0.262, 0.262)
Cl (0.470, 0.470, 0.470)


Entry 16:
The following is a DFT calculation (SCAN) of Cs2NaAu3C6N6 at its PBEsol-relaxed geometry.

Summary:
The calculated volume is 376.0 Å³/f.u. As for the space group: P6_3/mmc. The formation energy (no corrections) is -152 meV/atom.

abc: 6.878 6.878 18.359
angles: 90.00 90.00 120.00
Fractional positions:
Cs (0.333, 0.667, 0.056)
Cs (0.333, 0.667, 0.444)
Cs (0.667, 0.333, 0.556)
Cs (0.667, 0.333, 0.944)
Na (0.000, 0.000, 0.000)
Na (0.000, 0.000, 0.500)
Au (0.174, 0.348, 0.750)
Au (0.174, 0.826, 0.750)
Au (0.348, 0.174, 0.250)
Au (0.652, 0.826, 0.750)
Au (0.826, 0.174, 0.250)
Au (0.826, 0.652, 0.250)
C (0.170, 0.340, 0.643)
C (0.170, 0.340, 0.857)
C (0.170, 0.830, 0.643)
C (0.170, 0.830, 0.857)
C (0.340, 0.170, 0.143)
C (0.340, 0.170, 0.357)
C (0.660, 0.830, 0.643)
C (0.660, 0.830, 0.857)
C (0.830, 0.170, 0.143)
C (0.830, 0.170, 0.357)
C (0.830, 0.660, 0.143)
C (0.830, 0.660, 0.357)
N (0.165, 0.330, 0.579)
N (0.165, 0.330, 0.921)
N (0.165, 0.835, 0.579)
N (0.165, 0.835, 0.921)
N (0.330, 0.165, 0.079)
N (0.330, 0.165, 0.421)
N (0.670, 0.835, 0.579)
N (0.670, 0.835, 0.921)
N (0.835, 0.165, 0.079)
N (0.835, 0.165, 0.421)
N (0.835, 0.670, 0.079)
N (0.835, 0.670, 0.421)


Entry 17:
The following is a DFT calculation (SCAN) of V9PO25 at its PBEsol-relaxed geometry.

Summary:
The calculated volume is 394.4 Å³/f.u. As for the space group: I-4. The formation energy (no corrections) is -2435 meV/atom.

abc: 10.651 10.651 10.651
angles: 91.62 91.62 160.66
Fractional positions:
V (0.000, 0.000, 0.000)
V (0.093, 0.311, 0.447)
V (0.098, 0.771, 0.898)
V (0.229, 0.127, 0.327)
V (0.354, 0.907, 0.218)
V (0.689, 0.136, 0.782)
V (0.801, 0.902, 0.673)
V (0.864, 0.646, 0.553)
V (0.873, 0.199, 0.102)
P (0.250, 0.750, 0.500)
O (0.001, 0.267, 0.301)
O (0.046, 0.878, 0.937)
O (0.094, 0.473, 0.526)
O (0.122, 0.059, 0.168)
O (0.150, 0.640, 0.804)
O (0.194, 0.235, 0.395)
O (0.201, 0.806, 0.041)
O (0.262, 0.403, 0.643)
O (0.300, 0.999, 0.266)
O (0.360, 0.164, 0.510)
O (0.382, 0.738, 0.141)
O (0.431, 0.906, 0.378)
O (0.500, 0.500, 0.000)
O (0.527, 0.053, 0.622)
O (0.597, 0.241, 0.859)
O (0.654, 0.850, 0.490)
O (0.733, 0.034, 0.734)
O (0.759, 0.618, 0.357)
O (0.765, 0.160, 0.959)
O (0.836, 0.346, 0.196)
O (0.840, 0.799, 0.605)
O (0.891, 0.954, 0.832)
O (0.941, 0.109, 0.063)
O (0.947, 0.569, 0.474)
O (0.966, 0.700, 0.699)


Entry 18:
The following is a DFT calculation (SCAN) of Li2CdOs at its PBEsol-relaxed geometry.

Summary:
The calculated volume is 56.4 Å³/f.u. As for the space group: Imm2. For the formation energy, the calculation gives 231.3 meV/atom.

abc: 5.319 5.319 5.319
angles: 151.02 128.82 59.89
Fractional positions:
Li (0.000, 0.000, 0.000)
Li (0.769, 0.269, 0.500)
Cd (0.524, 0.524, 0.000)
Os (0.250, 0.750, 0.500)


Entry 19:
The following is a DFT calculation (SCAN) of Si5C at its PBEsol-relaxed geometry.

Summary:
The calculated volume is 76.8 Å³/f.u. As for the space group: Cmmm. The formation energy (no corrections) is 857 meV/atom.

abc: 6.115 6.115 2.853
angles: 90.00 90.00 133.97
Fractional positions:
Si (0.000, 0.000, 0.000)
Si (0.195, 0.805, 0.500)
Si (0.382, 0.618, 0.000)
Si (0.618, 0.382, 0.000)
Si (0.805, 0.195, 0.500)
C (0.500, 0.500, 0.500)


Entry 20:
The following is a DFT calculation (SCAN) of MnAgSb3 at its PBEsol-relaxed geometry.

Summary:
The calculated volume is 144.9 Å³/f.u. As for the space group: Pm-3m. The formation energy (no corrections) is 814 meV/atom.

abc: 5.252 5.252 5.252
angles: 90.00 90.00 90.00
Fractional positions:
Mn (0.000, 0.000, 0.000)
Ag (0.500, 0.500, 0.500)
Sb (0.000, 0.500, 0.500)
Sb (0.500, 0.000, 0.500)
Sb (0.500, 0.500, 0.000)


Raw total energy / eV for the cell shown: -196.919, -394.082, -71.156, -69.899, -182.524, -130.243, -248.970, -226.211, -195.310, -121.784, -93.497, -49.449, -119.003, -74.786, -82.088, -812.762, -408.781, -106.149, -55.036, -157.336
M_tot / μB/f.u.: 3.99, 0.00, 1.01, 2.76, 1.63, 1.44, 0.00, 0.00, 1.88, 0.01, 0.00, 0.00, 0.00, 0.66, 1.00, 0.00, 0.00, 0.00, 0.00, 4.77